## Rb2Hg16Au (PBE-GGA)

Data for a relaxed Rb2Hg16Au crystal.

Calculated values
DFT formation energy, eV per formula unit: -2.05

Cell lengths 8.442, 8.442, 8.442 Å; angles 78.99, 78.99, 78.99 degrees
Element x y z (fractional)
Hg 0.614 0.614 0.202
Hg 0.293 0.999 0.703
Hg 0.703 0.293 0.999
Hg 0.999 0.703 0.293
Hg 0.588 0.945 0.945
Hg 0.340 0.889 0.340
Hg 0.703 0.999 0.293
Hg 0.945 0.588 0.945
Hg 0.614 0.202 0.614
Hg 0.999 0.293 0.703
Hg 0.114 0.114 0.114
Hg 0.202 0.614 0.614
Hg 0.293 0.703 0.999
Hg 0.340 0.340 0.889
Hg 0.945 0.945 0.588
Hg 0.889 0.340 0.340
Rb 0.644 0.644 0.644
Rb 0.328 0.328 0.328
Au 0.946 0.946 0.946

## RbHg8Au2 (PBE-GGA)

Data for a relaxed RbHg8Au2 crystal.

Calculated values
DFT formation energy, eV per formula unit: 0.02

Cell lengths 6.454, 6.454, 9.741 Å; angles 90.00, 90.00, 90.00 degrees
Element x y z (fractional)
Au 0.500 0.000 0.000
Au 0.000 0.500 0.000
Hg 0.752 0.752 0.804
Hg 0.752 0.248 0.196
Hg 0.752 0.752 0.196
Hg 0.248 0.248 0.804
Hg 0.248 0.752 0.804
Hg 0.752 0.248 0.804
Hg 0.248 0.248 0.196
Hg 0.248 0.752 0.196
Rb 0.500 0.500 0.500

## Rb4Hg12Au (PBE-GGA)

Data for a relaxed Rb4Hg12Au crystal.

Calculated values
DFT formation energy, eV per formula unit: -3.12

Cell lengths 8.998, 8.998, 8.998 Å; angles 109.47, 109.47, 109.47 degrees
Element x y z (fractional)
Rb 0.500 0.500 0.500
Rb 0.000 0.500 0.000
Rb 0.500 0.000 0.000
Rb 0.000 0.000 0.500
Hg 0.000 0.287 0.287
Hg 0.000 0.713 0.713
Hg 0.750 0.500 0.250
Hg 0.500 0.750 0.250
Hg 0.287 0.287 0.000
Hg 0.750 0.250 0.500
Hg 0.713 0.713 0.000
Hg 0.250 0.500 0.750
Hg 0.713 0.000 0.713
Hg 0.500 0.250 0.750
Hg 0.287 0.000 0.287
Hg 0.250 0.750 0.500
Au 0.000 0.000 0.000

## Rb5Hg2Au (PBE-GGA)

Data for a relaxed Rb5Hg2Au crystal.

Calculated values
DFT formation energy, eV per formula unit: -1.55

Cell lengths 9.365, 9.365, 11.028 Å; angles 115.12, 115.12, 90.00 degrees
Element x y z (fractional)
Rb 0.672 0.172 0.703
Rb 0.328 0.828 0.297
Rb 0.468 0.328 0.297
Rb 0.000 0.000 0.000
Rb 0.968 0.468 0.297
Rb 0.828 0.968 0.297
Rb 0.032 0.532 0.703
Rb 0.500 0.500 0.000
Rb 0.532 0.672 0.703
Rb 0.172 0.032 0.703
Hg 0.388 0.888 0.000
Hg 0.612 0.112 0.000
Hg 0.888 0.612 0.000
Hg 0.112 0.388 0.000
Au 0.250 0.250 0.500
Au 0.750 0.750 0.500

## Rb11Hg9Au4 (PBE-GGA)

Data for a relaxed Rb11Hg9Au4 crystal.

Calculated values
DFT formation energy, eV per formula unit: -5.80

Cell lengths 4.699, 14.990, 14.990 Å; angles 112.50, 90.00, 90.00 degrees
Element x y z (fractional)
Au 0.500 0.762 0.554
Au 0.500 0.446 0.238
Au 0.500 0.238 0.446
Au 0.500 0.554 0.762
Rb 0.000 0.824 0.176
Rb 0.000 0.377 0.623
Rb 0.000 0.590 0.934
Rb 0.000 0.000 0.000
Rb 0.000 0.687 0.687
Rb 0.000 0.410 0.066
Rb 0.000 0.066 0.410
Rb 0.000 0.176 0.824
Rb 0.000 0.313 0.313
Rb 0.000 0.623 0.377
Rb 0.000 0.934 0.590
Hg 0.500 0.228 0.100
Hg 0.500 0.182 0.625
Hg 0.500 0.772 0.900
Hg 0.500 0.500 0.500
Hg 0.500 0.375 0.818
Hg 0.500 0.818 0.375
Hg 0.500 0.100 0.228
Hg 0.500 0.625 0.182
Hg 0.500 0.900 0.772

## Rb4Hg3Au2 (PBE-GGA)

Data for a relaxed Rb4Hg3Au2 crystal.

Calculated values
DFT formation energy, eV per formula unit: -2.15

Cell lengths 4.893, 8.034, 9.787 Å; angles 106.74, 104.48, 90.00 degrees
Element x y z (fractional)
Hg 0.896 0.768 0.792
Hg 0.104 0.232 0.208
Hg 0.000 0.500 0.000
Rb 0.230 0.696 0.460
Rb 0.434 0.149 0.868
Rb 0.770 0.304 0.540
Rb 0.566 0.851 0.132
Au 0.607 0.445 0.215
Au 0.393 0.555 0.785

## Rb4Hg2Au3 (PBE-GGA)

Data for a relaxed Rb4Hg2Au3 crystal.

Calculated values
DFT formation energy, eV per formula unit: -1.99

Cell lengths 4.498, 8.402, 9.883 Å; angles 108.66, 103.15, 90.00 degrees
Element x y z (fractional)
Rb 0.440 0.129 0.880
Rb 0.751 0.285 0.501
Rb 0.560 0.871 0.120
Rb 0.249 0.715 0.499
Hg 0.605 0.490 0.210
Hg 0.395 0.510 0.790
Au 0.099 0.254 0.198
Au 0.000 0.500 0.000
Au 0.901 0.746 0.802

## Rb2HgAu2 (PBE-GGA)

Data for a relaxed Rb2HgAu2 crystal.

Calculated values
Excess energy over the best structure of this formula in the dataset, eV/atom: 0.188
DFT formation energy, eV per formula unit: -0.39

Cell lengths 6.601, 6.601, 7.894 Å; angles 65.29, 65.29, 90.00 degrees
Element x y z (fractional)
Rb 0.311 0.311 0.377
Rb 0.689 0.689 0.623
Au 0.250 0.750 0.500
Au 0.750 0.250 0.500
Hg 0.000 0.000 0.000

## Rb11HgAu5 (PBE-GGA)

Data for a relaxed Rb11HgAu5 crystal.

Calculated values
DFT formation energy, eV per formula unit: -2.76

Cell lengths 8.762, 10.376, 10.376 Å; angles 100.34, 102.06, 102.06 degrees
Element x y z (fractional)
Rb 0.707 0.149 0.694
Rb 0.293 0.306 0.851
Rb 0.912 0.824 0.574
Rb 0.293 0.851 0.306
Rb 0.912 0.574 0.824
Rb 0.707 0.694 0.149
Rb 0.500 0.000 0.000
Rb 0.389 0.666 0.666
Rb 0.088 0.426 0.176
Rb 0.088 0.176 0.426
Rb 0.611 0.334 0.334
Hg 0.000 0.000 0.000
Au 0.308 0.650 0.996
Au 0.692 0.350 0.004
Au 0.308 0.996 0.650
Au 0.000 0.500 0.500
Au 0.692 0.004 0.350

## RbHg2SbAu (PBE-GGA)

Data for a relaxed RbHg2SbAu crystal.

Calculated values
Uncorrected formation energy, eV per atom: -0.09
Excess energy over the best structure of this formula in the dataset, eV/atom: 0.000

Cell lengths 5.881, 5.881, 5.382 Å; angles 90.00, 90.00, 90.00 degrees
Element x y z (fractional)
Hg 0.500 0.000 0.000
Hg 0.000 0.500 0.000
Rb 0.500 0.500 0.500
Au 0.000 0.000 0.500
Sb 0.000 0.000 0.000

## RbHgSbAu (PBE-GGA)

Data for a relaxed RbHgSbAu crystal.

Calculated values
Uncorrected formation energy, eV per atom: -0.18

Cell lengths 4.688, 4.688, 8.414 Å; angles 89.99, 90.00, 120.00 degrees
Element x y z (fractional)
Rb 0.572 0.144 0.486
Hg 0.239 0.477 0.164
Sb 0.239 0.477 0.799
Au 0.905 0.810 0.790

## RbHg2SbAu (PBE-GGA)

Data for a relaxed RbHg2SbAu crystal.

Calculated values
Uncorrected formation energy, eV per atom: -0.05
Excess energy over the best structure of this formula in the dataset, eV/atom: 0.039

Cell lengths 5.518, 5.518, 5.629 Å; angles 90.00, 90.00, 90.00 degrees
Each line ends with the local moment (μB).
Element x y z (fractional)
Hg 0.500 0.000 0.000  0.02
Hg 0.000 0.500 0.000  0.02
Rb 0.500 0.500 0.500  0.01
Sb 0.000 0.000 0.500  0.20
Au 0.000 0.000 0.000  0.03